(1)
Below is a relaxed structure of PuPHPd, with properties calculated at the PBE level.

Cell: 4.218 4.218 3.862 Å, 90.00 90.00 120.00°
Atoms (fractional coordinates):
1 Pu 0.000 0.000 0.000
2 P 0.333 0.667 0.500
3 H 0.667 0.333 0.000
4 Pd 0.667 0.333 0.500

Calculated values
**Space-group type**: No. 187
**Raw total energy**: -7.783 eV per atom
**Mass density**: 10.67 g cm⁻³

---

(2)
Below is a relaxed structure of PuPHPd2, with properties calculated at the PBE level.

Cell: 5.628 5.628 7.241 Å, 90.00 90.00 138.96°
Atoms (fractional coordinates):
1 Pu 0.050 0.950 0.750
2 Pu 0.950 0.050 0.250
3 P 0.234 0.766 0.250
4 P 0.766 0.234 0.750
5 H 0.500 0.500 0.000
6 H 0.500 0.500 0.500
7 Pd 0.336 0.664 0.559
8 Pd 0.336 0.664 0.941
9 Pd 0.664 0.336 0.059
10 Pd 0.664 0.336 0.441

Calculated values
**Space-group type**: No. 63
**Raw total energy**: -7.311 eV per atom
**Mass density**: 10.78 g cm⁻³

---

(3)
Below is a relaxed structure of Pu3P2H4Pd2, with properties calculated at the PBE level.

Cell: 10.595 10.595 10.595 Å, 158.81 158.81 30.14°
Atoms (fractional coordinates):
1 Pu 0.000 0.000 0.000
2 Pu 0.174 0.174 0.000
3 Pu 0.826 0.826 0.000
4 P 0.307 0.307 0.000
5 P 0.693 0.693 0.000
6 H 0.076 0.576 0.500
7 H 0.424 0.924 0.500
8 H 0.576 0.076 0.500
9 H 0.924 0.424 0.500
10 Pd 0.427 0.427 0.000
11 Pd 0.573 0.573 0.000

Calculated values
**Space-group type**: No. 139
**Raw total energy**: -7.623 eV per atom
**Mass density**: 10.81 g cm⁻³